Record 1
This record from Alexandria describes an optimized crystal structure of TcSeI2. The functional is GGA-PBE.

Calculated values
magnetization = 0.000 μB/atom
E_form (uncorrected) = 0.752 eV/atom
DFT total energy = -3.4853 eV/atom
DOS at the Fermi energy = 1.6707 states/eV/atom

a b c (Å): 6.9511 6.9511 6.9511
angles (deg): 116.66 116.66 95.89
With the nearest neighbours (Å) after each atom.
Fractional coordinates of all 8 atoms:
Tc 0.0000 0.0000 0.0000  4 I 2.58
Tc 0.7500 0.2500 0.5000  4 I 2.58
Se 0.2500 0.7500 0.5000  4 I 3.12
Se 0.5000 0.5000 0.0000  4 I 3.12
I 0.0666 0.1250 0.4416  2 Tc 2.58
I 0.3750 0.9334 0.0584  2 Tc 2.58
I 0.6834 0.6250 0.5584  2 Tc 2.58
I 0.8750 0.3166 0.9416  2 Tc 2.58

Record 2
This record from Alexandria describes an optimized crystal structure of TcTe2SeI. The functional is GGA-PBE.

Calculated values
magnetization = 0.000 μB/atom
E_form (uncorrected) = 0.572 eV/atom
DFT total energy = -3.7649 eV/atom
DOS at the Fermi energy = 1.2790 states/eV/atom

a b c (Å): 5.1587 5.1587 5.4697
angles (deg): 90.00 90.00 90.00
With the nearest neighbours (Å) after each atom.
Fractional coordinates of all 5 atoms:
Tc 0.0000 0.0000 0.0000  4 Te 2.58, 2 I 2.73
Te 0.0000 0.5000 0.0000  2 Tc 2.58
Te 0.5000 0.0000 0.0000  2 Tc 2.58
Se 0.5000 0.5000 0.5000  4 I 3.65, 8 Te 3.76
I 0.0000 0.0000 0.5000  2 Tc 2.73

Record 3
This record from Alexandria describes an optimized crystal structure of TcTe2SeI. The functional is GGA-PBE.

Calculated values
magnetization = 0.987 μB/atom
E_form (uncorrected) = 1.135 eV/atom
DFT total energy = -3.2023 eV/atom
DOS at the Fermi energy = 0.6996 states/eV/atom

a b c (Å): 5.4890 5.4890 5.6088
angles (deg): 90.00 90.00 90.00
With the nearest neighbours (Å) after each atom.
Fractional coordinates of all 5 atoms:
Tc 0.0000 0.0000 0.0000  4 I 3.88, 8 Te 3.92
Te 0.0000 0.5000 0.5000  2 Se 2.74
Te 0.5000 0.0000 0.5000  2 Se 2.74
Se 0.5000 0.5000 0.5000  4 Te 2.74, 2 I 2.80
I 0.5000 0.5000 0.0000  2 Se 2.80

Record 4
This record from Alexandria describes an optimized crystal structure of TlTcSe2I. The functional is GGA-PBE.

Calculated values
magnetization = 0.000 μB/atom
E_form (uncorrected) = -0.005 eV/atom
DFT total energy = -4.2549 eV/atom
DOS at the Fermi energy = 0.7455 states/eV/atom

a b c (Å): 4.8765 4.8765 5.9476
angles (deg): 90.00 90.00 90.00
With the nearest neighbours (Å) after each atom.
Fractional coordinates of all 5 atoms:
Tl 0.0000 0.0000 0.0000  4 I 3.45, 8 Se 3.85
Tc 0.5000 0.5000 0.5000  4 Se 2.44
Se 0.0000 0.5000 0.5000  2 Tc 2.44
Se 0.5000 0.0000 0.5000  2 Tc 2.44
I 0.5000 0.5000 0.0000  2 Tc 2.97

Record 5
This record from Alexandria describes an optimized crystal structure of TeSeI. The functional is GGA-PBE.

Calculated values
magnetization = 0.000 μB/atom
E_form (uncorrected) = 0.031 eV/atom
DFT total energy = -2.6943 eV/atom
DOS at the Fermi energy = 0.3105 states/eV/atom

a b c (Å): 4.7562 6.2856 8.5214
angles (deg): 69.43 83.14 76.86
With the nearest neighbours (Å) after each atom.
Fractional coordinates of all 6 atoms:
Te 0.0820 0.3021 0.4050  2 Se 2.61-2.65
Te 0.9180 0.6979 0.5950  2 Se 2.61-2.65
Se 0.1846 0.9500 0.6891  2 Te 2.61-2.65
Se 0.8154 0.0500 0.3109  2 Te 2.61-2.65
I 0.3357 0.3059 0.8410  1 Te 3.09, 1 Se 3.19
I 0.6643 0.6941 0.1590  1 Te 3.09, 1 Se 3.19

Record 6
This record from Alexandria describes an optimized crystal structure of TeSeI2. The functional is GGA-PBE.

Calculated values
magnetization = 0.000 μB/atom
E_form (uncorrected) = 0.496 eV/atom
DFT total energy = -1.9358 eV/atom
DOS at the Fermi energy = 0.7871 states/eV/atom

a b c (Å): 7.1715 7.1715 7.1715
angles (deg): 109.01 109.01 110.40
With the nearest neighbours (Å) after each atom.
Fractional coordinates of all 8 atoms:
Te 0.0000 0.0000 0.0000  4 I 3.19
Te 0.7500 0.2500 0.5000  4 I 3.19
Se 0.2500 0.7500 0.5000  4 I 3.05
Se 0.5000 0.5000 0.0000  4 I 3.05
I 0.1371 0.6250 0.0121  2 Se 3.05, 2 Te 3.19
I 0.3750 0.3871 0.5121  2 Se 3.05, 2 Te 3.19
I 0.6129 0.1250 0.9879  2 Se 3.05, 2 Te 3.19
I 0.8750 0.8629 0.4879  2 Se 3.05, 2 Te 3.19

Record 7
This record from Alexandria describes an optimized crystal structure of TeSeI. The functional is GGA-PBE.

Calculated values
magnetization = 0.000 μB/atom
E_form (uncorrected) = 0.086 eV/atom
DFT total energy = -2.6398 eV/atom
DOS at the Fermi energy = 0.5853 states/eV/atom

a b c (Å): 4.4400 4.4400 6.1663
angles (deg): 90.00 90.00 120.00
With the nearest neighbours (Å) after each atom.
Fractional coordinates of all 3 atoms:
Te 0.0000 0.0000 0.0000  3 Se 2.82
Se 0.6667 0.3333 0.1904  3 Te 2.82
I 0.3333 0.6667 0.6661  3 Te 3.29

Record 8
This record from Alexandria describes an optimized crystal structure of TeSeI2. The functional is GGA-PBE.

Calculated values
magnetization = 0.000 μB/atom
E_form (uncorrected) = -0.018 eV/atom
DFT total energy = -2.4492 eV/atom

a b c (Å): 4.0745 6.8739 7.4178
angles (deg): 96.55 105.94 107.14
With the nearest neighbours (Å) after each atom.
Fractional coordinates of all 4 atoms:
Te 0.0000 0.0000 0.0000  2 Se 2.70, 1 I 2.81
Se 0.6337 0.0170 0.2505  2 Te 2.70
I 0.3612 0.0687 0.6535  1 I 3.28, 2 Te 3.31, 2 Se 3.48
I 0.7063 0.5698 0.8410  1 Te 2.81